Entry 1:
Material: Nd2MgGa12
Method: DFT, PBE
State: optimized geometry

- DFT formation energy: -4.64 eV/f.u.
- M_tot: 0.000 μB per formula unit

Geometry as CIF:
```
data_Nd2MgGa12
_symmetry_space_group_name_H-M 'P 1'
_symmetry_Int_Tables_number 1
_cell_length_a 5.9266
_cell_length_b 5.9266
_cell_length_c 17.5455
_cell_angle_alpha 90.00
_cell_angle_beta 90.00
_cell_angle_gamma 90.00
loop_
_symmetry_equiv_pos_as_xyz
'x,y,z'
loop_
_atom_site_label
_atom_site_fract_x
_atom_site_fract_y
_atom_site_fract_z
_atom_site_occupancy
Nd1 0.5000 0.0000 0.2778 1
Nd2 0.0000 0.5000 0.2778 1
Nd3 0.0000 0.5000 0.7222 1
Nd4 0.5000 0.0000 0.7222 1
Mg1 0.5000 0.0000 0.0000 1
Mg2 0.0000 0.5000 0.0000 1
Ga1 0.5000 0.5000 0.7918 1
Ga2 0.0000 0.0000 0.7918 1
Ga3 0.7511 0.7489 0.8855 1
Ga4 0.2511 0.7511 0.8855 1
Ga5 0.0000 0.0000 0.3506 1
Ga6 0.2489 0.7489 0.1145 1
Ga7 0.8162 0.3162 0.5653 1
Ga8 0.5000 0.5000 0.3506 1
Ga9 0.2489 0.2511 0.8855 1
Ga10 0.7489 0.7511 0.1145 1
Ga11 0.3162 0.1838 0.5653 1
Ga12 0.6838 0.1838 0.4347 1
Ga13 0.0000 0.0000 0.6494 1
Ga14 0.1838 0.3162 0.4347 1
Ga15 0.2511 0.2489 0.1145 1
Ga16 0.8162 0.6838 0.4347 1
Ga17 0.6838 0.8162 0.5653 1
Ga18 0.0000 0.0000 0.2082 1
Ga19 0.1838 0.6838 0.5653 1
Ga20 0.5000 0.5000 0.6494 1
Ga21 0.7489 0.2489 0.8855 1
Ga22 0.5000 0.5000 0.2082 1
Ga23 0.3162 0.8162 0.4347 1
Ga24 0.7511 0.2511 0.1145 1
```

Entry 2:
Material: Nd3Mg3Ga8
Method: DFT, PBE
State: optimized geometry

- DFT formation energy: -6.74 eV/f.u.
- M_tot: 0.000 μB per formula unit

Geometry as CIF:
```
data_Nd3Mg3Ga8
_symmetry_space_group_name_H-M 'P 1'
_symmetry_Int_Tables_number 1
_cell_length_a 4.3438
_cell_length_b 8.7012
_cell_length_c 8.7012
_cell_angle_alpha 69.54
_cell_angle_beta 75.55
_cell_angle_gamma 75.55
loop_
_symmetry_equiv_pos_as_xyz
'x,y,z'
loop_
_atom_site_label
_atom_site_fract_x
_atom_site_fract_y
_atom_site_fract_z
_atom_site_occupancy
Nd1 0.5000 0.5000 0.5000 1
Nd2 0.8015 0.1985 0.1985 1
Nd3 0.1985 0.8015 0.8015 1
Mg1 0.5000 0.0000 0.0000 1
Mg2 0.0000 0.7886 0.2114 1
Mg3 0.0000 0.2114 0.7886 1
Ga1 0.6430 0.0790 0.6350 1
Ga2 0.3570 0.9210 0.3650 1
Ga3 0.6430 0.6350 0.0790 1
Ga4 0.3570 0.3650 0.9210 1
Ga5 0.8371 0.7935 0.5322 1
Ga6 0.1629 0.2065 0.4678 1
Ga7 0.8371 0.5322 0.7935 1
Ga8 0.1629 0.4678 0.2065 1
```

Entry 3:
Material: NdMg6Ga2
Method: DFT, PBE
State: optimized geometry

- DFT formation energy: -2.06 eV/f.u.
- M_tot: 0.000 μB per formula unit

Geometry as CIF:
```
data_NdMg6Ga2
_symmetry_space_group_name_H-M 'P 1'
_symmetry_Int_Tables_number 1
_cell_length_a 4.4539
_cell_length_b 4.4539
_cell_length_c 10.2281
_cell_angle_alpha 90.00
_cell_angle_beta 90.00
_cell_angle_gamma 90.00
loop_
_symmetry_equiv_pos_as_xyz
'x,y,z'
loop_
_atom_site_label
_atom_site_fract_x
_atom_site_fract_y
_atom_site_fract_z
_atom_site_occupancy
Nd1 0.0000 0.0000 0.0000 1
Mg1 0.0000 0.5000 0.2777 1
Mg2 0.5000 0.0000 0.2777 1
Mg3 0.0000 0.5000 0.7223 1
Mg4 0.5000 0.0000 0.7223 1
Mg5 0.5000 0.5000 0.5000 1
Mg6 0.0000 0.0000 0.5000 1
Ga1 0.5000 0.5000 0.1199 1
Ga2 0.5000 0.5000 0.8801 1
```

Entry 4:
Material: Nd5MgGa3
Method: DFT, PBE
State: optimized geometry

- DFT formation energy: -3.52 eV/f.u.
- M_tot: 0.000 μB per formula unit

Geometry as CIF:
```
data_Nd5MgGa3
_symmetry_space_group_name_H-M 'P 1'
_symmetry_Int_Tables_number 1
_cell_length_a 6.5969
_cell_length_b 9.2315
_cell_length_c 9.2292
_cell_angle_alpha 120.01
_cell_angle_beta 90.00
_cell_angle_gamma 90.00
loop_
_symmetry_equiv_pos_as_xyz
'x,y,z'
loop_
_atom_site_label
_atom_site_fract_x
_atom_site_fract_y
_atom_site_fract_z
_atom_site_occupancy
Nd1 0.0000 0.6666 0.3332 1
Nd2 0.5000 0.3334 0.6668 1
Nd3 0.0000 0.3334 0.6668 1
Nd4 0.5000 0.6666 0.3332 1
Nd5 0.7500 0.6877 0.6877 1
Nd6 0.7500 0.0001 0.3123 1
Nd7 0.7500 0.3121 0.0000 1
Nd8 0.2500 0.3123 0.3123 1
Nd9 0.2500 0.9999 0.6877 1
Nd10 0.2500 0.6879 0.0000 1
Mg1 0.0000 0.0000 0.0000 1
Mg2 0.5000 0.0000 0.0000 1
Ga1 0.7500 0.3493 0.3493 1
Ga2 0.7500 0.0000 0.6507 1
Ga3 0.7500 0.6507 0.0000 1
Ga4 0.2500 0.6507 0.6507 1
Ga5 0.2500 0.0000 0.3493 1
Ga6 0.2500 0.3493 0.0000 1
```

Entry 5:
Material: NdMg2Ga6
Method: DFT, PBE
State: optimized geometry

- DFT formation energy: -2.37 eV/f.u.
- M_tot: 0.000 μB per formula unit

Geometry as CIF:
```
data_NdMg2Ga6
_symmetry_space_group_name_H-M 'P 1'
_symmetry_Int_Tables_number 1
_cell_length_a 3.3883
_cell_length_b 7.8507
_cell_length_c 7.8507
_cell_angle_alpha 120.00
_cell_angle_beta 90.00
_cell_angle_gamma 90.00
loop_
_symmetry_equiv_pos_as_xyz
'x,y,z'
loop_
_atom_site_label
_atom_site_fract_x
_atom_site_fract_y
_atom_site_fract_z
_atom_site_occupancy
Nd1 0.0000 0.0000 0.0000 1
Mg1 0.0000 0.3333 0.6667 1
Mg2 0.0000 0.6667 0.3333 1
Ga1 0.5000 0.3394 0.3394 1
Ga2 0.5000 0.6606 0.6606 1
Ga3 0.5000 0.0000 0.6606 1
Ga4 0.5000 0.6606 0.0000 1
Ga5 0.5000 0.3394 0.0000 1
Ga6 0.5000 0.0000 0.3394 1
```

Entry 6:
Material: Nd3Mg2Ga4
Method: DFT, PBE
State: optimized geometry

- DFT formation energy: -4.42 eV/f.u.
- M_tot: 0.000 μB per formula unit

Geometry as CIF:
```
data_Nd3Mg2Ga4
_symmetry_space_group_name_H-M 'P 1'
_symmetry_Int_Tables_number 1
_cell_length_a 4.5573
_cell_length_b 6.0926
_cell_length_c 9.0487
_cell_angle_alpha 69.09
_cell_angle_beta 75.41
_cell_angle_gamma 68.04
loop_
_symmetry_equiv_pos_as_xyz
'x,y,z'
loop_
_atom_site_label
_atom_site_fract_x
_atom_site_fract_y
_atom_site_fract_z
_atom_site_occupancy
Nd1 0.3574 0.5990 0.6862 1
Nd2 0.0000 0.0000 0.0000 1
Nd3 0.6426 0.4010 0.3138 1
Mg1 0.3449 0.9871 0.3232 1
Mg2 0.6551 0.0129 0.6768 1
Ga1 0.2876 0.3755 0.0492 1
Ga2 0.7124 0.6245 0.9508 1
Ga3 0.0711 0.2680 0.5897 1
Ga4 0.9289 0.7320 0.4103 1
```

Entry 7:
Material: Nd5Mg4Ga
Method: DFT, PBE
State: optimized geometry

- DFT formation energy: -1.96 eV/f.u.
- M_tot: 0.000 μB per formula unit

Geometry as CIF:
```
data_Nd5Mg4Ga
_symmetry_space_group_name_H-M 'P 1'
_symmetry_Int_Tables_number 1
_cell_length_a 3.8250
_cell_length_b 3.8250
_cell_length_c 19.4795
_cell_angle_alpha 90.00
_cell_angle_beta 90.00
_cell_angle_gamma 90.00
loop_
_symmetry_equiv_pos_as_xyz
'x,y,z'
loop_
_atom_site_label
_atom_site_fract_x
_atom_site_fract_y
_atom_site_fract_z
_atom_site_occupancy
Nd1 0.5000 0.5000 0.0890 1
Nd2 0.5000 0.5000 0.2947 1
Nd3 0.5000 0.5000 0.5000 1
Nd4 0.5000 0.5000 0.7053 1
Nd5 0.5000 0.5000 0.9110 1
Mg1 0.0000 0.0000 0.1941 1
Mg2 0.0000 0.0000 0.3971 1
Mg3 0.0000 0.0000 0.6029 1
Mg4 0.0000 0.0000 0.8059 1
Ga1 0.0000 0.0000 0.0000 1
```

Entry 8:
Material: NdMg2Ga4
Method: DFT, PBE
State: optimized geometry

- DFT formation energy: -2.62 eV/f.u.
- M_tot: 0.000 μB per formula unit

Geometry as CIF:
```
data_NdMg2Ga4
_symmetry_space_group_name_H-M 'P 1'
_symmetry_Int_Tables_number 1
_cell_length_a 4.1841
_cell_length_b 4.2492
_cell_length_c 8.9958
_cell_angle_alpha 103.66
_cell_angle_beta 103.45
_cell_angle_gamma 90.00
loop_
_symmetry_equiv_pos_as_xyz
'x,y,z'
loop_
_atom_site_label
_atom_site_fract_x
_atom_site_fract_y
_atom_site_fract_z
_atom_site_occupancy
Nd1 0.5000 0.0000 0.0000 1
Mg1 0.8150 0.8150 0.6300 1
Mg2 0.1850 0.1850 0.3700 1
Ga1 0.6545 0.6545 0.3089 1
Ga2 0.3455 0.3455 0.6911 1
Ga3 0.0729 0.5729 0.1457 1
Ga4 0.9271 0.4271 0.8543 1
```

Question: What is the formula in the eighth record?
Answer: NdMg2Ga4

Question: Number 6 is which compound?
Answer: Nd3Mg2Ga4

Repeat the second record exactly.
Material: Nd3Mg3Ga8
Method: DFT, PBE
State: optimized geometry

- DFT formation energy: -6.74 eV/f.u.
- M_tot: 0.000 μB per formula unit

Geometry as CIF:
```
data_Nd3Mg3Ga8
_symmetry_space_group_name_H-M 'P 1'
_symmetry_Int_Tables_number 1
_cell_length_a 4.3438
_cell_length_b 8.7012
_cell_length_c 8.7012
_cell_angle_alpha 69.54
_cell_angle_beta 75.55
_cell_angle_gamma 75.55
loop_
_symmetry_equiv_pos_as_xyz
'x,y,z'
loop_
_atom_site_label
_atom_site_fract_x
_atom_site_fract_y
_atom_site_fract_z
_atom_site_occupancy
Nd1 0.5000 0.5000 0.5000 1
Nd2 0.8015 0.1985 0.1985 1
Nd3 0.1985 0.8015 0.8015 1
Mg1 0.5000 0.0000 0.0000 1
Mg2 0.0000 0.7886 0.2114 1
Mg3 0.0000 0.2114 0.7886 1
Ga1 0.6430 0.0790 0.6350 1
Ga2 0.3570 0.9210 0.3650 1
Ga3 0.6430 0.6350 0.0790 1
Ga4 0.3570 0.3650 0.9210 1
Ga5 0.8371 0.7935 0.5322 1
Ga6 0.1629 0.2065 0.4678 1
Ga7 0.8371 0.5322 0.7935 1
Ga8 0.1629 0.4678 0.2065 1
```